Record 1
Here is crystalline LuSbOs2 at its relaxed geometry from the Open Quantum Materials Database. Energies are from GGA-PBE.

Properties
Size of the total moment: 0.39 μB per cell
Volume: 18.29 Å³ per atom
Final energy: -7.31 eV per atom

Lattice parameters (Å, degrees): 6.6395 6.6395 6.6395 90.00 90.00 90.00
Last column: nearest neighbours and their distance in Å.
Space group F-43m (No. 216)
One atom of each set of equivalent atoms:
Lu  0.0000  0.0000  0.0000 x4  4 Sb 2.87, 4 Os 2.87
Sb  0.2500  0.2500  0.7500 x4  4 Os 2.87, 4 Lu 2.87
Os  0.0000  0.0000  0.5000 x4  4 Sb 2.87, 4 Os 2.87
Os  0.2500  0.2500  0.2500 x4  4 Os 2.87, 4 Lu 2.87

***

Record 2
Here is crystalline BaDy at its relaxed geometry from the Open Quantum Materials Database. Energies are from GGA-PBE.

Properties
Size of the total moment: 0.08 μB per cell
Volume: 44.98 Å³ per atom
E above lowest polymorph: 523 meV per atom

Lattice parameters (Å, degrees): 7.1126 7.1126 7.1126 90.00 90.00 90.00
Last column: nearest neighbours and their distance in Å.
Space group Fm-3m (No. 225)
One atom of each set of equivalent atoms:
Ba  0.0000  0.0000  0.0000 x4  6 Dy 3.56
Dy  0.0000  0.0000  0.5000 x4  6 Ba 3.56

***

Record 3
Here is crystalline Ta2CoTc at its relaxed geometry from the Open Quantum Materials Database. Energies are from GGA-PBE.

Properties
Size of the total moment: 7.24 μB per cell
Volume: 15.35 Å³ per atom
Final energy: -10.27 eV per atom

Lattice parameters (Å, degrees): 6.2631 6.2631 6.2631 90.00 90.00 90.00
Last column: nearest neighbours and their distance in Å.
Space group F-43m (No. 216)
One atom of each set of equivalent atoms:
Ta  0.0000  0.0000  0.0000 x4  4 Co 2.71, 4 Ta 2.71
Ta  0.2500  0.2500  0.2500 x4  4 Ta 2.71, 4 Tc 2.71
Co  0.2500  0.2500  0.7500 x4  4 Ta 2.71, 4 Tc 2.71
Tc  0.0000  0.0000  0.5000 x4  4 Ta 2.71, 4 Co 2.71

***

Record 4
Here is crystalline Li4GaSiPd2 at its relaxed geometry from the Open Quantum Materials Database. Energies are from GGA-PBE.

Properties
Volume: 13.49 Å³ per atom
Final energy: -3.85 eV per atom

Lattice parameters (Å, degrees): 4.2504 4.2504 5.9751 90.00 90.00 90.00
Last column: nearest neighbours and their distance in Å.
Space group P-4m2 (No. 115)
One atom of each set of equivalent atoms:
Li  0.0000  0.0000  0.0000 x1  4 Pd 2.55, 4 Li 2.59
Li  0.0000  0.5000  0.2473 x2  2 Si 2.59, 4 Li 2.59-2.61, 2 Ga 2.61, 1 Pd 2.88
Li  0.5000  0.5000  0.5000 x1  4 Li 2.61, 4 Pd 2.65
Ga  0.0000  0.0000  0.5000 x1  4 Li 2.61, 4 Pd 2.65
Si  0.5000  0.5000  0.0000 x1  4 Pd 2.55, 4 Li 2.59
Pd  0.0000  0.5000  0.7656 x2  2 Si 2.55, 4 Li 2.55-2.65, 2 Ga 2.65

***

Record 5
Here is crystalline Cu2GeTeS2 at its relaxed geometry from the Open Quantum Materials Database. Energies are from GGA-PBE.

Properties
Volume: 21.32 Å³ per atom
Final energy: -4.15 eV per atom

Lattice parameters (Å, degrees): 3.9588 11.5472 5.5979 90.00 90.00 90.00
Last column: nearest neighbours and their distance in Å.
Space group Imm2 (No. 44)
One atom of each set of equivalent atoms:
Cu  0.0000  0.1841  0.0000 x4  3 S 2.31-2.32
Ge  0.0000  0.5000  0.0863 x2  2 S 2.27
Te  0.0000  0.0000  0.2714 x2  2 Cu 2.61, 2 Ge 2.65
S  0.0000  0.3288  0.2846 x4  1 Ge 2.27, 3 Cu 2.31-2.32

***

Record 6
Here is crystalline ScSiBIr2 at its relaxed geometry from the Open Quantum Materials Database. Energies are from GGA-PBE.

Properties
Size of the total moment: 0.00 μB per cell
Volume: 13.98 Å³ per atom
Final energy: -8.08 eV per atom

Lattice parameters (Å, degrees): 3.9378 3.9378 9.0138 90.00 90.00 90.00
Last column: nearest neighbours and their distance in Å.
Space group I4mm (No. 107)
One atom of each set of equivalent atoms:
Sc  0.0000  0.0000  0.0000 x2  8 Ir 2.92-3.07, 4 Si 2.95, 4 B 3.01
Si  0.0000  0.0000  0.3917 x2  1 B 2.11
B  0.0000  0.0000  0.6256 x2  1 Si 2.11, 4 Ir 2.22
Ir  0.0000  0.5000  0.2391 x4  2 B 2.22, 2 Si 2.40

***

Record 7
Here is crystalline TmCuGe at its relaxed geometry from the Open Quantum Materials Database. Energies are from GGA-PBE.

Properties
Size of the total moment: 0.00 μB per cell
Volume: 22.95 Å³ per atom
Final energy: -4.20 eV per atom

Lattice parameters (Å, degrees): 6.5062 6.5062 6.5062 90.00 90.00 90.00
Last column: nearest neighbours and their distance in Å.
Space group F-43m (No. 216)
One atom of each set of equivalent atoms:
Tm  0.0000  0.0000  0.0000 x4  4 Cu 2.82, 4 Ge 2.82
Cu  0.2500  0.2500  0.7500 x4  4 Tm 2.82
Ge  0.2500  0.2500  0.2500 x4  4 Tm 2.82

***

Record 8
Here is crystalline AcPIrO at its relaxed geometry from the Open Quantum Materials Database. Energies are from GGA-PBE.

Properties
Size of the total moment: 0.04 μB per cell
Volume: 18.12 Å³ per atom
E above lowest polymorph: 544 meV per atom

Lattice parameters (Å, degrees): 4.6951 4.2542 7.2589 90.00 90.00 90.00
Last column: nearest neighbours and their distance in Å.
Space group Pmc2_1 (No. 26)
One atom of each set of equivalent atoms:
Ac  0.0000  0.2462  0.0000 x2  3 O 2.43-2.44
P  0.5000  0.2471  0.6711 x2  3 Ir 2.43-2.45
Ir  0.5000  0.2555  0.3366 x2  2 O 2.35, 3 P 2.43-2.45
O  0.0000  0.2546  0.3351 x2  2 Ir 2.35, 3 Ac 2.43-2.44

***

Record 9
Here is crystalline Ni2W3 at its relaxed geometry from the Open Quantum Materials Database. Energies are from GGA-PBE.

Properties
Size of the total moment: 0.00 μB per cell
Volume: 14.65 Å³ per atom
E above lowest polymorph: 8 meV per atom

Lattice parameters (Å, degrees): 9.2881 9.2881 5.0961 90.00 90.00 90.00
Last column: nearest neighbours and their distance in Å.
Space group P4_2/mnm (No. 136)
One atom of each set of equivalent atoms:
Ni  0.0347  0.3672  0.0000 x8  4 W 2.52-2.70, 2 Ni 2.54-2.55
Ni  0.1018  0.1018  0.0000 x4  3 Ni 2.54-2.68
W  0.0000  0.0000  0.5000 x2  8 W 2.59-2.79, 4 Ni 2.88
W  0.0578  0.2725  0.5000 x8  4 Ni 2.52-2.70, 5 W 2.59-2.74
W  0.1886  0.8114  0.2488 x8  7 W 2.54-2.79

***

Record 10
Here is crystalline KSnMo at its relaxed geometry from the Open Quantum Materials Database. Energies are from GGA-PBE.

Properties
Size of the total moment: 12.01 μB per cell
Volume: 29.70 Å³ per atom
E above lowest polymorph: 0 meV per atom

Lattice parameters (Å, degrees): 7.0904 7.0904 7.0904 90.00 90.00 90.00
Last column: nearest neighbours and their distance in Å.
Space group F-43m (No. 216)
One atom of each set of equivalent atoms:
K  0.0000  0.0000  0.0000 x4  4 Mo 3.07
Sn  0.0000  0.0000  0.5000 x4  4 Mo 3.07
Mo  0.2500  0.2500  0.2500 x4  4 Sn 3.07, 4 K 3.07

***

Record 11
Here is crystalline La2AgSn at its relaxed geometry from the Open Quantum Materials Database. Energies are from GGA-PBE.

Properties
Size of the total moment: 0.01 μB per cell
Volume: 31.04 Å³ per atom
Final energy: -4.44 eV per atom

Lattice parameters (Å, degrees): 5.1343 5.1343 10.8782 90.00 90.00 120.00
Last column: nearest neighbours and their distance in Å.
Space group P6_3/mmc (No. 194)
One atom of each set of equivalent atoms:
La  0.3333  0.6667  0.1101 x4  1 La 3.04, 3 Ag 3.20, 3 Sn 3.33
Ag  0.0000  0.0000  0.0000 x2  6 La 3.20
Sn  0.3333  0.6667  0.7500 x2  6 La 3.33

***

Record 12
Here is crystalline HoNbN2O at its relaxed geometry from the Open Quantum Materials Database. Energies are from GGA-PBE.

Properties
Size of the total moment: 0.00 μB per cell
Volume: 12.38 Å³ per atom
Final energy: -9.05 eV per atom

Lattice parameters (Å, degrees): 7.8105 5.4959 5.7698 90.00 90.00 90.00
Last column: nearest neighbours and their distance in Å.
Space group Pmc2_1 (No. 26)
One atom of each set of equivalent atoms:
Ho  0.0000  0.2441  0.0000 x2  2 O 2.26, 2 N 2.30-2.46
Ho  0.5000  0.2483  0.1239 x2  4 N 2.23-2.38
Nb  0.2569  0.2666  0.5762 x4  4 N 1.95-2.06, 1 O 2.08
N  0.0000  0.3471  0.5853 x2  2 Nb 2.06, 1 Ho 2.30
N  0.3038  0.4380  0.8662 x4  2 Nb 1.95-2.06
N  0.5000  0.1386  0.5071 x2  2 Nb 2.06, 2 Ho 2.23-2.29
O  0.1956  0.0640  0.2319 x4  2 Nb 2.08-2.33, 1 Ho 2.26

***

Record 13
Here is crystalline NbCuSbW at its relaxed geometry from the Open Quantum Materials Database. Energies are from GGA-PBE.

Properties
Size of the total moment: 0.19 μB per cell
Volume: 17.00 Å³ per atom
E above lowest polymorph: 0 meV per atom

Lattice parameters (Å, degrees): 6.4789 6.4789 6.4789 90.00 90.00 90.00
Last column: nearest neighbours and their distance in Å.
Space group F-43m (No. 216)
One atom of each set of equivalent atoms:
Nb  0.0000  0.0000  0.0000 x4  4 W 2.81, 4 Cu 2.81
Cu  0.2500  0.2500  0.7500 x4  4 Nb 2.81, 4 Sb 2.81
Sb  0.0000  0.0000  0.5000 x4  4 W 2.81, 4 Cu 2.81
W  0.2500  0.2500  0.2500 x4  4 Nb 2.81, 4 Sb 2.81

***

Record 14
Here is crystalline Tb2DyIn3Pt2Au at its relaxed geometry from the Open Quantum Materials Database. Energies are from GGA-PBE.

Properties
Size of the total moment: 0.01 μB per cell
Volume: 22.33 Å³ per atom
Final energy: -5.08 eV per atom

Lattice parameters (Å, degrees): 3.8196 13.4944 7.7974 90.00 90.00 90.00
Last column: nearest neighbours and their distance in Å.
Space group Amm2 (No. 38)
One atom of each set of equivalent atoms:
Tb  0.0000  0.2040  0.0000 x4  4 Pt 3.04, 6 In 3.16-3.39, 1 Au 3.18
Dy  0.0000  0.0000  0.6120 x2  4 Pt 3.03, 6 In 3.16-3.39, 1 Au 3.18
In  0.5000  0.0000  0.9351 x2  2 Au 2.84, 2 Pt 2.88, 2 Dy 3.16
In  0.5000  0.1342  0.3385 x4  2 Au 2.83, 2 Pt 2.88-2.89, 2 Tb 3.16
Pt  0.5000  0.1662  0.7038 x4  3 In 2.88-2.89, 2 Dy 3.03, 4 Tb 3.04
Au  0.0000  0.0000  0.2042 x2  6 In 2.83-2.84

***

Record 15
Here is crystalline NdTmGa2 at its relaxed geometry from the Open Quantum Materials Database. Energies are from GGA-PBE.

Properties
Size of the total moment: 0.02 μB per cell
Volume: 24.59 Å³ per atom
Final energy: -4.42 eV per atom

Lattice parameters (Å, degrees): 4.0930 4.3855 10.9616 90.00 90.00 90.00
Last column: nearest neighbours and their distance in Å.
Space group Amm2 (No. 38)
One atom of each set of equivalent atoms:
Nd  0.0000  0.0000  0.0000 x2  7 Ga 3.08-3.24
Tm  0.5000  0.0000  0.2789 x2  7 Ga 3.08-3.22
Ga  0.0000  0.0000  0.7171 x2  2 Ga 2.65
Ga  0.5000  0.0000  0.5639 x2  2 Ga 2.65

***

Record 16
Here is crystalline Ac5Os2O12 at its relaxed geometry from the Open Quantum Materials Database. Energies are from GGA-PBE.

Properties
Size of the total moment: 10.00 μB per cell
Volume: 16.57 Å³ per atom
Final energy: -7.98 eV per atom

Lattice parameters (Å, degrees): 13.3023 6.1834 8.0204 90.00 107.33 90.00
Last column: nearest neighbours and their distance in Å.
Space group C2/m (No. 12)
One atom of each set of equivalent atoms:
Ac  0.0000  0.0000  0.0000 x2  6 O 2.50-2.59
Ac  0.1891  0.5000  0.8551 x4  7 O 2.51-2.64
Ac  0.1909  0.5000  0.3346 x4  7 O 2.50-2.62
Os  0.0000  0.2355  0.5000 x4  6 O 1.97-2.08
O  0.0008  0.0000  0.6775 x4  2 Os 2.03
O  0.0007  0.5000  0.3393 x4  2 Os 2.08
O  0.1554  0.2495  0.0795 x8  4 Ac 2.50-2.51
O  0.1550  0.2529  0.5758 x8  1 Os 1.97

***

Record 17
Here is crystalline Rb2TlFeBr6 at its relaxed geometry from the Open Quantum Materials Database. Energies are from GGA-PBE.

Properties
Size of the total moment: 17.73 μB per cell
Volume: 35.69 Å³ per atom
Final energy: -3.29 eV per atom

Lattice parameters (Å, degrees): 11.2596 11.2596 11.2596 90.00 90.00 90.00
Last column: nearest neighbours and their distance in Å.
Space group Fm-3m (No. 225)
One atom of each set of equivalent atoms:
Rb  0.2500  0.2500  0.2500 x8  12 Br 3.99
Tl  0.0000  0.0000  0.0000 x4  6 Br 3.07
Fe  0.0000  0.0000  0.5000 x4  6 Br 2.56
Br  0.0000  0.0000  0.2723 x24  1 Fe 2.56

***

Record 18
Here is crystalline LiHoZnTe3 at its relaxed geometry from the Open Quantum Materials Database. Energies are from GGA-PBE.

Properties
Size of the total moment: 0.01 μB per cell
Volume: 28.69 Å³ per atom
E above lowest polymorph: 0 meV per atom

Lattice parameters (Å, degrees): 4.2125 14.3166 11.4165 90.00 90.00 90.00
Last column: nearest neighbours and their distance in Å.
Space group Cmcm (No. 63)
One atom of each set of equivalent atoms:
Li  0.0000  0.2075  0.2500 x4  4 Te 3.07, 2 Zn 3.38
Ho  0.0000  0.0000  0.0000 x4  6 Te 3.06-3.16
Zn  0.0000  0.4769  0.7500 x4  4 Te 2.67-2.70
Te  0.0000  0.0944  0.7500 x4  2 Zn 2.70
Te  0.0000  0.3562  0.5719 x8  1 Zn 2.67

***

Record 19
Here is crystalline TaSnAsO at its relaxed geometry from the Open Quantum Materials Database. Energies are from GGA-PBE.

Properties
Size of the total moment: 0.00 μB per cell
Volume: 21.46 Å³ per atom
E above lowest polymorph: 0 meV per atom

Lattice parameters (Å, degrees): 3.4487 6.6521 7.4830 90.00 90.00 90.00
Last column: nearest neighbours and their distance in Å.
Space group Pmc2_1 (No. 26)
One atom of each set of equivalent atoms:
Ta  0.0000  0.0469  0.0000 x2  2 O 1.93-1.97
Sn  0.5000  0.3030  0.5717 x2  2 As 2.66-2.70, 2 Ta 2.95
As  0.5000  0.3296  0.9322 x2  2 Ta 2.60, 2 Sn 2.66-2.70
O  0.0000  0.0660  0.2569 x2  2 Ta 1.93-1.97